DFT (PBE) results for an optimized crystal structure of Li2AgPdN.

Unit cell a=4.030 b=4.030 c=4.064 alpha=90.00 beta=90.00 gamma=90.00
Space group P4/mmm (No. 123)
Asymmetric unit:
Li: 0.000 0.500 0.000
Ag: 0.000 0.000 0.500
Pd: 0.500 0.500 0.500
N: 0.500 0.500 0.000

Output
ΔE_f (raw), eV/atom: -0.1424
Total magnetization, Bohr magnetons per cell: 0.00

---

DFT (PBE) results for an optimized crystal structure of Th2GaRh6.

Unit cell a=3.830 b=7.147 c=12.726 alpha=90.00 beta=90.00 gamma=90.00
Space group Immm (No. 71)
Asymmetric unit:
Th: 0.000 0.000 0.150
Ga: 0.000 0.000 0.500
Rh: 0.000 0.212 0.333
Rh: 0.000 0.279 0.000

Output
Total magnetization, Bohr magnetons per cell: 0.00
ΔE_f, eV per atom: -0.46

---

DFT (PBE) results for an optimized crystal structure of Tc3BI.

Unit cell a=4.238 b=4.238 c=4.238 alpha=90.00 beta=90.00 gamma=90.00
Space group Pm-3m (No. 221)
Asymmetric unit:
Tc: 0.000 0.000 0.500
B: 0.000 0.000 0.000
I: 0.500 0.500 0.500

Output
ΔE_f (raw), eV/atom: 0.7506
Offset from the most stable computed form, meV/atom: 0
Total magnetization, Bohr magnetons per cell: 0.88

---

DFT (PBE) results for an optimized crystal structure of Zn4Cl.

Unit cell a=6.150 b=6.150 c=6.150 alpha=90.00 beta=90.00 gamma=90.00
Space group Im-3m (No. 229)
Asymmetric unit:
Zn: 0.250 0.250 0.250
Cl: 0.000 0.000 0.000

Output
ΔE_f (raw), eV/atom: 0.4562
Offset from the most stable computed form, meV/atom: 0
Total magnetization, Bohr magnetons per cell: 0.00

---

DFT (PBE) results for an optimized crystal structure of ReHgSbTe2.

Unit cell a=5.320 b=5.320 c=5.239 alpha=90.00 beta=90.00 gamma=90.00
Space group P4/mmm (No. 123)
Asymmetric unit:
Re: 0.000 0.000 0.000
Hg: 0.500 0.500 0.500
Sb: 0.000 0.000 0.500
Te: 0.000 0.500 0.000

Output
ΔE_f (raw), eV/atom: 0.6200
Offset from the most stable computed form, meV/atom: 0
Total magnetization, Bohr magnetons per cell: 0.00

---

DFT (PBE) results for an optimized crystal structure of KGd2Fe.

Unit cell a=3.8992 b=3.8992 c=32.7892 alpha=90.00 beta=90.00 gamma=120.00
Space group R-3m (No. 166, hexagonal axes)
Asymmetric unit:
K: 0.0000 0.0000 0.0000
Gd: 0.0000 0.0000 0.1214
Fe: 0.0000 0.0000 0.5000

Output
Total magnetization, Bohr magnetons per cell: 41.65
ΔE_f, eV per atom: 0.25

---

DFT (PBE) results for an optimized crystal structure of ZrPaCu4.

Unit cell a=7.243 b=7.243 c=7.243 alpha=90.00 beta=90.00 gamma=90.00
Space group F-43m (No. 216)
Asymmetric unit:
Zr: 0.000 0.000 0.000
Pa: 0.250 0.250 0.250
Cu: 0.126 0.126 0.626

Output
Offset from the most stable computed form, meV/atom: 0
Total magnetization, Bohr magnetons per cell: 0.00
ΔE_f, eV per atom: -0.04

---

DFT (PBE) results for an optimized crystal structure of Cr2PRh.

Unit cell a=2.6869 b=2.6869 c=23.7568 alpha=90.00 beta=90.00 gamma=120.00
Space group R-3m (No. 166, hexagonal axes)
Asymmetric unit:
Cr: 0.0000 0.0000 0.2445
P: 0.0000 0.0000 0.5000
Rh: 0.0000 0.0000 0.0000

Output
Total magnetization, Bohr magnetons per cell: 1.68
ΔE_f, eV per atom: 0.00

---

DFT (PBE) results for an optimized crystal structure of CrCo2Pb2.

Unit cell a=6.411 b=6.411 c=4.103 alpha=90.00 beta=90.00 gamma=90.00
Space group P4/mbm (No. 127)
Asymmetric unit:
Cr: 0.000 0.000 0.000
Co: 0.132 0.368 0.000
Pb: 0.179 0.679 0.500

Output
Total magnetization, Bohr magnetons per cell: 0.27
ΔE_f, eV per atom: 0.74

---

DFT (PBE) results for an optimized crystal structure of ScSe2Cl.

Unit cell a=3.406 b=3.406 c=8.180 alpha=90.00 beta=90.00 gamma=90.00
Space group P4mm (No. 99)
Asymmetric unit:
Sc: 0.000 0.000 0.000
Se: 0.000 0.000 0.363
Se: 0.500 0.500 0.155
Cl: 0.500 0.500 0.794

Output
ΔE_f (raw), eV/atom: -0.8122
Offset from the most stable computed form, meV/atom: 480
Total magnetization, Bohr magnetons per cell: 0.00

---

DFT (PBE) results for an optimized crystal structure of La6Sm3Er.

Unit cell a=14.0812 b=14.0812 c=6.4599 alpha=90.00 beta=90.00 gamma=120.00
Space group R3m (No. 160, hexagonal axes)
Asymmetric unit:
La: 0.1568 0.0784 0.0000
La: 0.1707 0.3414 0.1382
Sm: 0.0815 0.5407 0.3091
Er: 0.0000 0.0000 0.4618

Output
Total magnetization, Bohr magnetons per cell: 0.00
ΔE_f, eV per atom: 0.27

---

DFT (PBE) results for an optimized crystal structure of Ac2Ga6RhAu.

Unit cell a=5.431 b=6.961 c=6.997 alpha=81.45 beta=67.28 gamma=67.12
Space group P-1 (No. 2)
Asymmetric unit:
Ac: 0.034 0.214 0.217
Ga: 0.008 0.247 0.735
Ga: 0.341 0.406 0.414
Ga: 0.490 0.755 0.263
Rh: 0.500 0.000 0.500
Au: 0.500 0.500 0.000

Output
Total magnetization, Bohr magnetons per cell: 0.00
ΔE_f, eV per atom: -0.51

---

DFT (PBE) results for an optimized crystal structure of Nd5YHo3.

Unit cell a=16.524 b=6.787 c=11.674 alpha=90.00 beta=110.47 gamma=90.00
Space group C2/c (No. 15)
Asymmetric unit:
Nd: 0.000 0.190 0.250
Nd: 0.111 0.002 0.551
Nd: 0.172 0.413 0.344
Y: 0.000 0.259 0.750
Ho: 0.000 0.500 0.000
Ho: 0.239 0.096 0.874

Output
Offset from the most stable computed form, meV/atom: 0
Total magnetization, Bohr magnetons per cell: 0.00
ΔE_f, eV per atom: 0.17

---

DFT (PBE) results for an optimized crystal structure of In2CoSb.

Unit cell a=3.081 b=4.479 c=12.760 alpha=90.00 beta=90.00 gamma=90.00
Space group Imm2 (No. 44)
Asymmetric unit:
In: 0.000 0.000 0.000
In: 0.000 0.500 0.177
Co: 0.000 0.000 0.491
Sb: 0.000 0.500 0.825

Output
ΔE_f (raw), eV/atom: 0.0791
Total magnetization, Bohr magnetons per cell: 0.47

---

DFT (PBE) results for an optimized crystal structure of Pm3Ga2Os.

Unit cell a=12.258 b=4.409 c=11.174 alpha=90.00 beta=90.00 gamma=90.00
Space group Pnma (No. 62)
Asymmetric unit:
Pm: 0.052 0.250 0.116
Pm: 0.118 0.750 0.555
Pm: 0.232 0.250 0.790
Ga: 0.013 0.750 0.302
Ga: 0.201 0.750 0.990
Os: 0.117 0.250 0.365

Output
Total magnetization, Bohr magnetons per cell: 0.00
ΔE_f, eV per atom: -0.42

---

DFT (PBE) results for an optimized crystal structure of La2Tl2Ga.

Unit cell a=8.340 b=8.340 c=4.640 alpha=90.00 beta=90.00 gamma=90.00
Space group P4/mbm (No. 127)
Asymmetric unit:
La: 0.155 0.345 0.000
Tl: 0.149 0.649 0.500
Ga: 0.000 0.000 0.000

Output
Offset from the most stable computed form, meV/atom: 239
Total magnetization, Bohr magnetons per cell: 0.00
ΔE_f, eV per atom: -0.20

---

DFT (PBE) results for an optimized crystal structure of HIrPt2.

Unit cell a=2.7221 b=2.7221 c=24.0380 alpha=90.00 beta=90.00 gamma=120.00
Space group R-3m (No. 166, hexagonal axes)
Asymmetric unit:
H: 0.0000 0.0000 0.0000
Ir: 0.0000 0.0000 0.5000
Pt: 0.0000 0.0000 0.3901

Output
Offset from the most stable computed form, meV/atom: 24
Total magnetization, Bohr magnetons per cell: 0.01

---

DFT (PBE) results for an optimized crystal structure of Ge2PIr.

Unit cell a=5.702 b=5.702 c=10.432 alpha=90.00 beta=90.00 gamma=90.00
Space group I-42d (No. 122)
Asymmetric unit:
Ge: 0.248 0.250 0.125
P: 0.000 0.000 0.500
Ir: 0.000 0.000 0.000

Output
Offset from the most stable computed form, meV/atom: 0
Total magnetization, Bohr magnetons per cell: 0.00
ΔE_f, eV per atom: 0.09

---

DFT (PBE) results for an optimized crystal structure of SbTePI2.

Unit cell a=5.325 b=5.325 c=5.569 alpha=90.00 beta=90.00 gamma=90.00
Space group P4/mmm (No. 123)
Asymmetric unit:
Sb: 0.000 0.000 0.000
Te: 0.500 0.500 0.000
P: 0.500 0.500 0.500
I: 0.000 0.500 0.500

Output
ΔE_f (raw), eV/atom: 0.4577
Offset from the most stable computed form, meV/atom: 0
Total magnetization, Bohr magnetons per cell: 0.00

---

DFT (PBE) results for an optimized crystal structure of NiSnHPt2.

Unit cell a=4.023 b=4.023 c=4.050 alpha=90.00 beta=90.00 gamma=90.00
Space group P4/mmm (No. 123)
Asymmetric unit:
Ni: 0.000 0.000 0.000
Sn: 0.500 0.500 0.000
H: 0.000 0.000 0.500
Pt: 0.000 0.500 0.500

Output
Total magnetization, Bohr magnetons per cell: 0.00

---

DFT (PBE) results for an optimized crystal structure of HoB3Mo.

Unit cell a=5.438 b=3.164 c=6.829 alpha=90.00 beta=101.86 gamma=90.00
Space group P2_1/m (No. 11)
Asymmetric unit:
Ho: 0.176 0.250 0.210
B: 0.083 0.750 0.493
B: 0.413 0.750 0.496
B: 0.420 0.750 0.976
Mo: 0.311 0.250 0.720

Output
Offset from the most stable computed form, meV/atom: 0
Total magnetization, Bohr magnetons per cell: 0.00
ΔE_f, eV per atom: -0.63

---

DFT (PBE) results for an optimized crystal structure of SrTaRu2.

Unit cell a=8.013 b=3.197 c=6.814 alpha=90.00 beta=99.92 gamma=90.00
Space group C2/m (No. 12)
Asymmetric unit:
Sr: 0.000 0.000 0.000
Ta: 0.000 0.500 0.500
Ru: 0.232 0.000 0.669

Output
Offset from the most stable computed form, meV/atom: 283
Total magnetization, Bohr magnetons per cell: 0.00
ΔE_f, eV per atom: 0.28

---

DFT (PBE) results for an optimized crystal structure of LiTaMn2.

Unit cell a=6.626 b=6.626 c=5.279 alpha=90.00 beta=90.00 gamma=90.00
Space group I-42d (No. 122)
Asymmetric unit:
Li: 0.000 0.000 0.000
Ta: 0.000 0.000 0.500
Mn: 0.233 0.250 0.125

Output
Total magnetization, Bohr magnetons per cell: 16.41
ΔE_f, eV per atom: 0.63

---

DFT (PBE) results for an optimized crystal structure of AcPmErAu.

Unit cell a=7.744 b=7.744 c=7.744 alpha=90.00 beta=90.00 gamma=90.00
Space group F-43m (No. 216)
Asymmetric unit:
Ac: 0.000 0.000 0.000
Pm: 0.250 0.250 0.750
Er: 0.250 0.250 0.250
Au: 0.000 0.000 0.500

Output
Total magnetization, Bohr magnetons per cell: 6.80
ΔE_f, eV per atom: -0.01

---

Number 1: final energy -4.182 eV/atom. Number 2: final energy -7.343 eV/atom. Number 3: final energy -7.114 eV/atom. Number 4: final energy -0.932 eV/atom. Number 5: final energy -4.011 eV/atom. Number 6: final energy -9.178 eV/atom. Number 7: final energy -5.783 eV/atom. Number 8: final energy -8.000 eV/atom. Number 9: final energy -5.513 eV/atom. Number 10: final energy -4.599 eV/atom. Number 11: final energy -4.557 eV/atom. Number 12: final energy -4.212 eV/atom. Number 13: final energy -4.719 eV/atom. Number 14: final energy -4.097 eV/atom. Number 15: final energy -5.679 eV/atom. Number 16: final energy -3.718 eV/atom. Number 17: final energy -5.743 eV/atom. Number 18: final energy -5.785 eV/atom. Number 19: final energy -2.697 eV/atom. Number 20: final energy -5.221 eV/atom. Number 21: final energy -7.721 eV/atom. Number 22: final energy -7.741 eV/atom. Number 23: final energy -7.396 eV/atom. Number 24: final energy -4.190 eV/atom.